# 1
The following is a PBE calculation of a geometry-optimized Ce5Sb5H2 structure, from Alexandria via LeMat-Bulk.

Results
Calculated total energy in eV/atom: -5.559
ρ in g cm⁻³: 7.22
Total magnetization in Bohr magnetons per cell: 2.9
Calculated volume in Å³/atom: 25.123
Crystal system: monoclinic

a = 4.0416 Å, b = 8.4168 Å, c = 12.3472 Å
α = 130.81°, β = 90.00°, γ = 103.89°
Site moments in Bohr magnetons follow the coordinates.
Positions (direct):
Ce: 0.0564 0.1128 0.3595  0.57
Ce: 0.7270 0.4540 0.8075  0.45
Ce: 0.2730 0.5460 0.1925  0.45
Ce: 0.9436 0.8872 0.6405  0.57
Ce: 0.0000 0.0000 0.0000  0.72
Sb: 0.5000 0.0000 0.5000  -0.03
Sb: 0.6055 0.2110 0.9196  -0.04
Sb: 0.6873 0.3746 0.3052  -0.04
Sb: 0.3127 0.6254 0.6948  -0.04
Sb: 0.3945 0.7890 0.0804  -0.04
H: 0.1309 0.2617 0.7547  -0.01
H: 0.8691 0.7383 0.2453  -0.01

# 2
The following is a PBE calculation of a geometry-optimized CeSb2H structure, from Alexandria via LeMat-Bulk.

Results
ρ in g cm⁻³: 4.71
Total magnetization in Bohr magnetons per cell: 0.0
Calculated volume in Å³/atom: 33.868
Crystal system: trigonal
Distance to the lowest polymorph of the same formula in eV/atom: 0.4125

a = 4.8039 Å, b = 4.8039 Å, c = 7.3241 Å
α = 70.86°, β = 70.86°, γ = 60.00°
Positions (direct):
Sb: 0.0953 0.0953 0.7140
Sb: 0.9047 0.9047 0.2860
Ce: 0.5000 0.5000 0.5000
H: 0.0000 0.0000 0.0000

# 3
The following is a PBE calculation of a geometry-optimized Ce7Sb4H4 structure, from Alexandria via LeMat-Bulk.

Results
Calculated total energy in eV/atom: -5.331
ρ in g cm⁻³: 7.15
Total magnetization in Bohr magnetons per cell: 2.8
Calculated volume in Å³/atom: 22.805
Crystal system: tetragonal

a = 6.1607 Å, b = 10.9790 Å, c = 10.9790 Å
α = 85.49°, β = 73.71°, γ = 73.71°
Site moments in Bohr magnetons follow the coordinates.
Positions (direct):
Ce: 0.5000 0.5920 0.4080  0.35
Ce: 0.5000 0.4080 0.5920  0.35
Ce: 0.0920 0.4080 0.4080  0.35
Ce: 0.9080 0.5920 0.5920  0.35
Ce: 0.7517 0.0000 0.0000  0.84
Ce: 0.2483 0.0000 0.0000  0.84
Ce: 0.7054 0.5891 0.0000  -0.92
Ce: 0.2946 0.4109 0.0000  -0.92
Ce: 0.2946 0.0000 0.4109  -0.92
Ce: 0.7054 0.0000 0.5891  -0.92
Ce: 0.0000 0.2898 0.7102  0.75
Ce: 0.0000 0.7102 0.2898  0.75
Ce: 0.2898 0.7102 0.7102  0.75
Ce: 0.7102 0.2898 0.2898  0.75
Sb: 0.8561 0.2877 0.0000  0.00
Sb: 0.1439 0.7123 0.0000  0.00
Sb: 0.1439 0.0000 0.7123  0.00
Sb: 0.8561 0.0000 0.2877  0.00
Sb: 0.5000 0.8028 0.1972  0.00
Sb: 0.5000 0.1972 0.8028  0.00
Sb: 0.3028 0.1972 0.1972  0.00
Sb: 0.6972 0.8028 0.8028  0.00
H: 0.1265 0.7471 0.5000  0.00
H: 0.3735 0.2529 0.5000  0.00
H: 0.3735 0.5000 0.2529  0.00
H: 0.1265 0.5000 0.7471  0.00
H: 0.8735 0.5000 0.2529  0.00
H: 0.6265 0.5000 0.7471  0.00
H: 0.6265 0.7471 0.5000  0.00
H: 0.8735 0.2529 0.5000  0.00

# 4
The following is a PBE calculation of a geometry-optimized Ce2SbH2 structure, from Alexandria via LeMat-Bulk.

Results
ρ in g cm⁻³: 7.08
Total magnetization in Bohr magnetons per cell: 5.0
Calculated volume in Å³/atom: 18.948
Crystal system: orthorhombic
Distance to the lowest polymorph of the same formula in eV/atom: 0.0000

a = 5.7827 Å, b = 5.7981 Å, c = 6.3479 Å
α = 90.00°, β = 117.09°, γ = 90.00°
Site moments in Bohr magnetons follow the coordinates.
Positions (direct):
Ce: 0.8971 0.2500 0.2941  1.02
Ce: 0.3971 0.7500 0.2940  1.02
Ce: 0.1029 0.7500 0.7059  1.02
Ce: 0.6029 0.2500 0.7060  1.02
Sb: 0.7500 0.7500 0.0000  -0.03
Sb: 0.2500 0.2500 0.0000  -0.03
H: 0.7500 0.5000 0.5000  -0.01
H: 0.2500 0.0000 0.5000  -0.01
H: 0.2500 0.5000 0.5000  -0.01
H: 0.7500 0.0000 0.5000  -0.01

# 5
The following is a PBE calculation of a geometry-optimized Ce2SbH structure, from Alexandria via LeMat-Bulk.

Results
ρ in g cm⁻³: 7.66
Total magnetization in Bohr magnetons per cell: 4.8
Calculated volume in Å³/atom: 21.850
Crystal system: orthorhombic
Distance to the lowest polymorph of the same formula in eV/atom: 0.0000

a = 4.3526 Å, b = 4.7876 Å, c = 8.7234 Å
α = 105.93°, β = 90.00°, γ = 90.00°
Site moments in Bohr magnetons follow the coordinates.
Positions (direct):
Ce: 0.0000 0.5000 0.0000  0.84
Ce: 0.5000 0.0000 0.0000  0.87
Ce: 0.5000 0.6853 0.3707  1.04
Ce: 0.5000 0.3147 0.6293  1.04
Sb: 0.0000 0.8525 0.7050  -0.03
Sb: 0.0000 0.1475 0.2950  -0.03
H: 0.5000 0.5536 0.1072  -0.01
H: 0.5000 0.4464 0.8928  -0.01

# 6
The following is a PBE calculation of a geometry-optimized Ce6Sb3H structure, from Alexandria via LeMat-Bulk.

Results
Calculated total energy in eV/atom: -5.661
ρ in g cm⁻³: 7.29
Total magnetization in Bohr magnetons per cell: 7.8
Calculated volume in Å³/atom: 27.487
Crystal system: monoclinic

a = 7.2903 Å, b = 8.0075 Å, c = 9.4195 Å
α = 90.00°, β = 91.25°, γ = 90.00°
Site moments in Bohr magnetons follow the coordinates.
Positions (direct):
Ce: 0.6770 0.1528 0.9791  0.56
Ce: 0.6534 0.2092 0.5395  0.58
Ce: 0.6762 0.4483 0.3153  0.58
Ce: 0.3238 0.5517 0.6847  0.58
Ce: 0.3466 0.7908 0.4605  0.58
Ce: 0.3230 0.8472 0.0209  0.56
Ce: 0.1770 0.3472 0.4791  0.56
Ce: 0.1534 0.2908 0.0395  0.58
Ce: 0.1762 0.0517 0.8153  0.58
Ce: 0.8238 0.9483 0.1847  0.58
Ce: 0.8466 0.7092 0.9605  0.58
Ce: 0.8230 0.6528 0.5209  0.56
Sb: 0.5795 0.8926 0.7365  -0.01
Sb: 0.5000 0.5000 0.0000  -0.01
Sb: 0.4205 0.1074 0.2635  -0.01
Sb: 0.0795 0.6074 0.2365  -0.01
Sb: 0.0000 0.0000 0.5000  -0.01
Sb: 0.9205 0.3926 0.7635  -0.01
H: 0.5000 0.5000 0.5000  -0.01
H: 0.0000 0.0000 0.0000  -0.01

Repeat the second record exactly.
The following is a PBE calculation of a geometry-optimized CeSb2H structure, from Alexandria via LeMat-Bulk.

Results
ρ in g cm⁻³: 4.71
Total magnetization in Bohr magnetons per cell: 0.0
Calculated volume in Å³/atom: 33.868
Crystal system: trigonal
Distance to the lowest polymorph of the same formula in eV/atom: 0.4125

a = 4.8039 Å, b = 4.8039 Å, c = 7.3241 Å
α = 70.86°, β = 70.86°, γ = 60.00°
Positions (direct):
Sb: 0.0953 0.0953 0.7140
Sb: 0.9047 0.9047 0.2860
Ce: 0.5000 0.5000 0.5000
H: 0.0000 0.0000 0.0000